A plane-wave DFT calculation with PBE-GGA was carried out for a relaxed NaY2Tc crystal.

Cell lengths 3.482, 3.482, 9.098 Å; angles 90.00, 90.00, 90.00 degrees
Sites, in units of the cell vectors:
Na 0.000 0.000 0.000
Y 0.500 0.500 0.321
Y 0.500 0.500 0.679
Tc 0.000 0.000 0.500

Results
DOS at the Fermi energy, states/eV per cell: 4.55
ΔH_f (0 K), eV/atom: 0.019
Distance to the lowest polymorph of the same formula, meV/atom: 0

***

A plane-wave DFT calculation with PBE-GGA was carried out for a relaxed Rb2AgSn2 crystal.

Cell lengths 6.640, 6.640, 9.577 Å; angles 90.56, 90.56, 72.61 degrees
Sites, in units of the cell vectors:
Rb 0.178 0.180 0.254
Rb 0.180 0.178 0.754
Rb 0.820 0.822 0.246
Rb 0.822 0.820 0.746
Ag 0.499 0.501 0.750
Ag 0.501 0.499 0.250
Sn 0.317 0.683 0.000
Sn 0.317 0.683 0.500
Sn 0.683 0.317 0.000
Sn 0.683 0.317 0.500

Results
DOS at the Fermi energy, states/eV per cell: 1.95
ΔH_f (0 K), eV/atom: -0.140
Distance to the lowest polymorph of the same formula, meV/atom: 0

***

A plane-wave DFT calculation with PBE-GGA was carried out for a relaxed LaAs2C crystal.

Cell lengths 6.697, 6.697, 7.259 Å; angles 90.00, 90.00, 90.00 degrees
Sites, in units of the cell vectors:
La 0.000 0.000 0.000
La 0.000 0.500 0.250
La 0.500 0.000 0.750
La 0.500 0.500 0.500
As 0.134 0.250 0.625
As 0.250 0.634 0.875
As 0.250 0.866 0.375
As 0.366 0.250 0.125
As 0.634 0.750 0.125
As 0.750 0.134 0.375
As 0.750 0.366 0.875
As 0.866 0.750 0.625
C 0.000 0.000 0.500
C 0.000 0.500 0.750
C 0.500 0.000 0.250
C 0.500 0.500 0.000

Results
DOS at the Fermi energy, states/eV per cell: 11.32
ΔH_f (0 K), eV/atom: 0.119

***

A plane-wave DFT calculation with PBE-GGA was carried out for a relaxed AcSmDy2Y6 crystal.

Cell lengths 8.957, 8.957, 9.606 Å; angles 92.83, 92.83, 117.48 degrees
Sites, in units of the cell vectors:
Ac 0.031 0.969 0.750
Ac 0.969 0.031 0.250
Sm 0.412 0.588 0.250
Sm 0.588 0.412 0.750
Dy 0.199 0.310 0.551
Dy 0.310 0.199 0.051
Dy 0.690 0.801 0.949
Dy 0.801 0.690 0.449
Y 0.016 0.557 0.680
Y 0.125 0.752 0.058
Y 0.248 0.875 0.442
Y 0.290 0.511 0.886
Y 0.443 0.984 0.820
Y 0.489 0.710 0.614
Y 0.511 0.290 0.386
Y 0.557 0.016 0.180
Y 0.710 0.489 0.114
Y 0.752 0.125 0.558
Y 0.875 0.248 0.942
Y 0.984 0.443 0.320

Results
DOS at the Fermi energy, states/eV per cell: 32.24
ΔH_f (0 K), eV/atom: 0.128

***

A plane-wave DFT calculation with PBE-GGA was carried out for a relaxed AcPrSe2Cl crystal.

Cell lengths 4.380, 4.380, 14.520 Å; angles 90.00, 90.00, 90.00 degrees
Sites, in units of the cell vectors:
Ac 0.250 0.250 0.099
Ac 0.750 0.750 0.901
Pr 0.250 0.250 0.642
Pr 0.750 0.750 0.358
Se 0.250 0.250 0.309
Se 0.250 0.250 0.871
Se 0.750 0.750 0.129
Se 0.750 0.750 0.691
Cl 0.250 0.750 0.500
Cl 0.750 0.250 0.500

Results
DOS at the Fermi energy, states/eV per cell: 3.82
Total energy, eV per formula unit: -27.31

***

A plane-wave DFT calculation with PBE-GGA was carried out for a relaxed Al3FeW crystal.

Cell lengths 4.373, 4.373, 4.373 Å; angles 90.00, 90.00, 90.00 degrees
Sites, in units of the cell vectors:
Al 0.000 0.000 0.500
Al 0.000 0.500 0.000
Al 0.500 0.000 0.000
Fe 0.000 0.000 0.000
W 0.500 0.500 0.500

Results
DOS at the Fermi energy, states/eV per cell: 3.10
ΔH_f (0 K), eV/atom: 0.734
Distance to the lowest polymorph of the same formula, meV/atom: 0

***

A plane-wave DFT calculation with PBE-GGA was carried out for a relaxed NpScB crystal.

Cell lengths 6.565, 6.124, 4.716 Å; angles 73.25, 63.28, 43.46 degrees
Sites, in units of the cell vectors:
Np 0.174 0.826 0.174
Np 0.826 0.174 0.826
Sc 0.291 0.291 0.709
Sc 0.709 0.709 0.291
B 0.358 0.642 0.642
B 0.642 0.358 0.358

Results
DOS at the Fermi energy, states/eV per cell: 9.22
ΔH_f (0 K), eV/atom: 0.221

***

A plane-wave DFT calculation with PBE-GGA was carried out for a relaxed Ce2ScZn6 crystal.

Cell lengths 7.930, 7.930, 3.230 Å; angles 90.00, 90.00, 120.00 degrees
Sites, in units of the cell vectors:
Ce 0.333 0.667 0.000
Ce 0.667 0.333 0.000
Sc 0.000 0.000 0.000
Zn 0.000 0.323 0.500
Zn 0.000 0.677 0.500
Zn 0.323 0.000 0.500
Zn 0.323 0.323 0.500
Zn 0.677 0.000 0.500
Zn 0.677 0.677 0.500

Results
DOS at the Fermi energy, states/eV per cell: 12.90
ΔH_f (0 K), eV/atom: -0.290

***

A plane-wave DFT calculation with PBE-GGA was carried out for a relaxed PrHo3Zn8 crystal.

Cell lengths 5.568, 5.568, 8.697 Å; angles 90.00, 90.00, 120.00 degrees
Sites, in units of the cell vectors:
Pr 0.000 0.000 0.000
Ho 0.000 0.000 0.387
Ho 0.667 0.333 0.508
Ho 0.667 0.333 0.891
Zn 0.166 0.333 0.690
Zn 0.166 0.834 0.690
Zn 0.333 0.667 0.444
Zn 0.333 0.667 0.948
Zn 0.502 0.005 0.200
Zn 0.502 0.498 0.200
Zn 0.667 0.834 0.690
Zn 0.995 0.498 0.200

Results
DOS at the Fermi energy, states/eV per cell: 7.95
ΔH_f (0 K), eV/atom: -0.311

***

A plane-wave DFT calculation with PBE-GGA was carried out for a relaxed CuW3I crystal.

Cell lengths 4.624, 4.624, 4.624 Å; angles 90.00, 90.00, 90.00 degrees
Sites, in units of the cell vectors:
Cu 0.000 0.000 0.000
W 0.000 0.000 0.500
W 0.000 0.500 0.000
W 0.500 0.000 0.000
I 0.500 0.500 0.500

Results
DOS at the Fermi energy, states/eV per cell: 6.25
Distance to the lowest polymorph of the same formula, meV/atom: 0

***

A plane-wave DFT calculation with PBE-GGA was carried out for a relaxed La2SiAu2 crystal.

Cell lengths 3.924, 3.924, 16.562 Å; angles 90.00, 90.00, 90.00 degrees
Sites, in units of the cell vectors:
La 0.000 0.000 0.096
La 0.000 0.000 0.904
La 0.500 0.500 0.404
La 0.500 0.500 0.596
Si 0.000 0.000 0.500
Si 0.500 0.500 0.000
Au 0.000 0.500 0.250
Au 0.000 0.500 0.750
Au 0.500 0.000 0.250
Au 0.500 0.000 0.750

Results
DOS at the Fermi energy, states/eV per cell: 1.52
Distance to the lowest polymorph of the same formula, meV/atom: 103

***

A plane-wave DFT calculation with PBE-GGA was carried out for a relaxed LaAgPb crystal.

Cell lengths 8.542, 4.933, 8.742 Å; angles 90.00, 108.94, 90.00 degrees
Sites, in units of the cell vectors:
La 0.000 0.000 0.000
La 0.164 0.000 0.493
La 0.500 0.500 0.000
La 0.664 0.500 0.493
Ag 0.254 0.500 0.262
Ag 0.288 0.000 0.863
Ag 0.754 0.000 0.262
Ag 0.788 0.500 0.863
Pb 0.078 0.500 0.735
Pb 0.411 0.000 0.233
Pb 0.578 0.000 0.735
Pb 0.911 0.500 0.233

Results
DOS at the Fermi energy, states/eV per cell: 3.05
ΔH_f (0 K), eV/atom: -0.422

***

A plane-wave DFT calculation with PBE-GGA was carried out for a relaxed BeZnPd6 crystal.

Cell lengths 4.941, 4.947, 4.968 Å; angles 98.66, 98.58, 98.68 degrees
Sites, in units of the cell vectors:
Be 0.000 0.000 0.000
Zn 0.500 0.500 0.500
Pd 0.065 0.773 0.612
Pd 0.227 0.388 0.933
Pd 0.388 0.934 0.228
Pd 0.612 0.066 0.772
Pd 0.773 0.612 0.067
Pd 0.935 0.227 0.388

Results
DOS at the Fermi energy, states/eV per cell: 4.34
ΔH_f (0 K), eV/atom: -0.260